Compound: Cs2BaAsI6
Source: the Alexandria database
Functional: PBE
Structure: relaxed

The structure in CIF format:
```
data_Cs2BaAsI6
_chemical_formula_sum 'Cs4 Ba2 As2 I12'
_cell_length_a 9.167
_cell_length_b 9.167
_cell_length_c 12.475
_cell_angle_alpha 90.00
_cell_angle_beta 90.00
_cell_angle_gamma 90.00
_space_group_name_H-M_alt 'I 4/m m m'
_space_group_IT_number 139
_space_group_name_Hall '-I 4 2'
loop_
_atom_site_label
_atom_site_fract_x
_atom_site_fract_y
_atom_site_fract_z
Cs1 0.000 0.500 0.250
Ba1 0.000 0.000 0.000
As1 0.000 0.000 0.500
I1 0.000 0.000 0.272
I2 0.240 0.240 0.500
```

## Properties
ΔE_f (raw): -1.033 eV per atom
Final energy: -2.791 eV/atom